[1]
DFT (PBE) results for a geometry-optimized Li2MgBe2Au5 structure.

a b c (Å): 9.981 9.981 3.255
angles (deg): 90.00 90.00 90.00
Space group P4/mbm (No. 127)
Symmetry-distinct sites (fractional):
Li 0.173 0.327 0.000 [4 per cell]
Mg 0.000 0.000 0.000 [2 per cell]
Be 0.124 0.624 0.000 [4 per cell]
Au 0.000 0.500 0.500 [2 per cell]
Au 0.076 0.790 0.500 [8 per cell]

Computed properties:
As for the density of states at the Fermi level: 0.295 states/eV/atom. As for the density: 10.66 g/cm3. The energy of formation is -0.37 eV per atom. The total magnetization is 0.00 μB per formula unit. Its calculated volume is 324.3 Å³/cell.



[2]
DFT (PBE) results for a geometry-optimized LiBe2MoAu structure.

a b c (Å): 4.020 4.020 4.035
angles (deg): 90.00 90.00 90.00
Space group P4/mmm (No. 123)
Symmetry-distinct sites (fractional):
Li 0.000 0.000 0.000 [1 per cell]
Be 0.000 0.500 0.000 [2 per cell]
Mo 0.500 0.500 0.500 [1 per cell]
Au 0.000 0.000 0.500 [1 per cell]

Computed properties:
As for the density of states at the Fermi level: 0.250 states/eV/atom. As for the density: 8.10 g/cm3. The energy of formation is 0.79 eV per atom. The total magnetization is 0.00 μB per formula unit. Its calculated volume is 65.2 Å³/cell.